[1]
The following is a PBE-GGA calculation of a geometry-optimized RbSi3S structure, from Alexandria.

Values from the calculation:
E_form (uncorrected) ... 74 kJ per mole of atoms
Volume ... 25.0 Å³/atom
Excess energy over the best structure of this formula in the dataset ... 0 kJ/mol of formula units
SG ... No. 221

a = 5.002 Å, b = 5.002 Å, c = 5.002 Å
α = 90.00°, β = 90.00°, γ = 90.00°
Atoms (fractional coordinates):
Rb  0.000  0.000  0.000
Si  0.000  0.500  0.500
Si  0.500  0.000  0.500
Si  0.500  0.500  0.000
S  0.500  0.500  0.500

---

[2]
The following is a PBE-GGA calculation of a geometry-optimized NpNiSe2 structure, from Alexandria.

Values from the calculation:
E_form (uncorrected) ... -74 kJ per mole of atoms
Volume ... 22.0 Å³/atom
Excess energy over the best structure of this formula in the dataset ... 0 kJ/mol of formula units
SG ... No. 8

a = 6.984 Å, b = 4.031 Å, c = 6.242 Å
α = 90.00°, β = 90.06°, γ = 90.00°
Atoms (fractional coordinates):
Np  0.000  0.000  0.000
Np  0.500  0.500  0.000
Ni  0.166  0.500  0.650
Ni  0.666  0.000  0.650
Se  0.167  0.500  0.261
Se  0.333  0.000  0.727
Se  0.667  0.000  0.261
Se  0.833  0.500  0.727

---

[3]
The following is a PBE-GGA calculation of a geometry-optimized ErBiIO6 structure, from Alexandria.

Values from the calculation:
E_form (uncorrected) ... -136 kJ per mole of atoms
Volume ... 15.0 Å³/atom
SG ... No. 163

a = 5.642 Å, b = 5.642 Å, c = 9.786 Å
α = 90.00°, β = 90.00°, γ = 120.00°
Atoms (fractional coordinates):
Er  0.333  0.667  0.250
Er  0.667  0.333  0.750
Bi  0.000  0.000  0.000
Bi  0.000  0.000  0.500
I  0.333  0.667  0.750
I  0.667  0.333  0.250
O  0.031  0.370  0.636
O  0.031  0.662  0.864
O  0.338  0.370  0.864
O  0.338  0.969  0.636
O  0.370  0.031  0.136
O  0.370  0.338  0.364
O  0.630  0.662  0.636
O  0.630  0.969  0.864
O  0.662  0.031  0.364
O  0.662  0.630  0.136
O  0.969  0.338  0.136
O  0.969  0.630  0.364

---

[4]
The following is a PBE-GGA calculation of a geometry-optimized AcAg6Hg2 structure, from Alexandria.

Values from the calculation:
Volume ... 26.7 Å³/atom
Excess energy over the best structure of this formula in the dataset ... 103 kJ/mol of formula units
SG ... No. 225

a = 6.979 Å, b = 6.979 Å, c = 6.979 Å
α = 60.00°, β = 60.00°, γ = 60.00°
Atoms (fractional coordinates):
Ac  0.000  0.000  0.000
Ag  0.301  0.301  0.699
Ag  0.301  0.699  0.301
Ag  0.301  0.699  0.699
Ag  0.699  0.301  0.301
Ag  0.699  0.301  0.699
Ag  0.699  0.699  0.301
Hg  0.250  0.250  0.250
Hg  0.750  0.750  0.750